This record from Alexandria describes a relaxed Ca2Ni3B6 crystal. The functional is PBE.

Unit cell a=3.4794 b=5.8198 c=5.8198 alpha=96.37 beta=90.00 gamma=90.00
Fractional coordinates of all 11 atoms:
Ca1 0.0000 0.2754 0.7246
Ca2 0.0000 0.7246 0.2754
Ni1 0.0000 0.2252 0.2252
Ni2 0.0000 0.7748 0.7748
Ni3 0.5000 0.0000 0.0000
B1 0.5000 0.3868 0.3868
B2 0.5000 0.6132 0.6132
B3 0.5000 0.0898 0.3893
B4 0.5000 0.9102 0.6107
B5 0.5000 0.3893 0.0898
B6 0.5000 0.6107 0.9102

Values from the calculation:
Total energy in eV/cell: -64.79
M_tot in μB/f.u.: 0.00
Energy of formation from the pure elements in meV/atom: -307
Density of states at the Fermi level in states/eV/f.u.: 3.72

This record from Alexandria describes a relaxed Ca2Ni12B7 crystal. The functional is PBE.

Unit cell a=3.3193 b=8.6541 c=8.6541 alpha=120.00 beta=90.00 gamma=90.00
Fractional coordinates of all 21 atoms:
Ca1 0.5000 0.0000 0.0000
Ca2 0.0000 0.6667 0.3333
Ni1 0.5000 0.9007 0.6200
Ni2 0.5000 0.7193 0.0993
Ni3 0.5000 0.3800 0.2807
Ni4 0.5000 0.2316 0.7953
Ni5 0.5000 0.5637 0.7684
Ni6 0.5000 0.2047 0.4363
Ni7 0.0000 0.0652 0.5474
Ni8 0.0000 0.4822 0.9348
Ni9 0.0000 0.4526 0.5178
Ni10 0.0000 0.7674 0.7240
Ni11 0.0000 0.9567 0.2326
Ni12 0.0000 0.2760 0.0433
B1 0.0000 0.3333 0.6667
B2 0.0000 0.0450 0.7689
B3 0.0000 0.7239 0.9550
B4 0.0000 0.2311 0.2761
B5 0.5000 0.6239 0.5690
B6 0.5000 0.9451 0.3761
B7 0.5000 0.4310 0.0549

Values from the calculation:
Total energy in eV/cell: -125.78
M_tot in μB/f.u.: 0.00
Energy of formation from the pure elements in meV/atom: -269
Density of states at the Fermi level in states/eV/f.u.: 10.61

Which of these has the lowest total energy?
Ca2Ni12B7

Repeat the second record exactly.
This record from Alexandria describes a relaxed Ca2Ni12B7 crystal. The functional is PBE.

Unit cell a=3.3193 b=8.6541 c=8.6541 alpha=120.00 beta=90.00 gamma=90.00
Fractional coordinates of all 21 atoms:
Ca1 0.5000 0.0000 0.0000
Ca2 0.0000 0.6667 0.3333
Ni1 0.5000 0.9007 0.6200
Ni2 0.5000 0.7193 0.0993
Ni3 0.5000 0.3800 0.2807
Ni4 0.5000 0.2316 0.7953
Ni5 0.5000 0.5637 0.7684
Ni6 0.5000 0.2047 0.4363
Ni7 0.0000 0.0652 0.5474
Ni8 0.0000 0.4822 0.9348
Ni9 0.0000 0.4526 0.5178
Ni10 0.0000 0.7674 0.7240
Ni11 0.0000 0.9567 0.2326
Ni12 0.0000 0.2760 0.0433
B1 0.0000 0.3333 0.6667
B2 0.0000 0.0450 0.7689
B3 0.0000 0.7239 0.9550
B4 0.0000 0.2311 0.2761
B5 0.5000 0.6239 0.5690
B6 0.5000 0.9451 0.3761
B7 0.5000 0.4310 0.0549

Values from the calculation:
Total energy in eV/cell: -125.78
M_tot in μB/f.u.: 0.00
Energy of formation from the pure elements in meV/atom: -269
Density of states at the Fermi level in states/eV/f.u.: 10.61

What is the formula in the second record?
Ca2Ni12B7